No. 1
Density functional theory data (PBE) for a geometry-optimized MgTcPb2O6 structure.

It has space group I4/m (No. 87), with a = 5.551 Å, b = 5.551 Å, c = 8.083 Å, α = 90.00°, β = 90.00° and γ = 90.00°. The asymmetric unit holds Mg at (0.000, 0.000, 0.000), Tc at (0.000, 0.000, 0.500), Pb at (0.000, 0.500, 0.250), O at (0.000, 0.000, 0.259) and O at (0.194, 0.711, 0.500).

For the energy relative to the lowest polymorph listed for this composition, the calculation gives 0 meV/atom.

=====

No. 2
Density functional theory data (PBE) for a geometry-optimized MgTcPb2O6 structure.

It has space group P-1 (No. 2), with a = 5.597 Å, b = 5.599 Å, c = 7.924 Å, α = 90.01°, β = 90.00° and γ = 90.02°. The asymmetric unit holds Mg at (0.000, 0.000, 0.000), Mg at (0.500, 0.500, 0.500), Tc at (0.000, 0.000, 0.500), Tc at (0.500, 0.500, 0.000), Pb at (0.000, 0.500, 0.250), Pb at (0.500, 0.000, 0.250), O at (0.001, 0.000, 0.257), O at (0.238, 0.753, 0.500), O at (0.248, 0.238, 0.501), O at (0.254, 0.260, 0.999), O at (0.260, 0.745, 0.000) and O at (0.499, 0.500, 0.243).

For the energy relative to the lowest polymorph listed for this composition, the calculation gives 13 meV/atom.

=====

No. 3
Density functional theory data (PBE) for a geometry-optimized MgTcPb2O6 structure.

It has space group C2/m (No. 12), with a = 9.697 Å, b = 5.604 Å, c = 5.600 Å, α = 90.00°, β = 125.23° and γ = 90.00°. The asymmetric unit holds Mg at (0.000, 0.000, 0.000), Tc at (0.000, 0.500, 0.500), Pb at (0.250, 0.000, 0.750), O at (0.001, 0.258, 0.258) and O at (0.243, 0.500, 0.743).

For the energy relative to the lowest polymorph listed for this composition, the calculation gives 13 meV/atom.

=====

No. 4
Density functional theory data (PBE) for a geometry-optimized MgPd2PtO6 structure.

It has space group Cmmm (No. 65), with a = 7.097 Å, b = 9.926 Å, c = 3.179 Å, α = 90.00°, β = 90.00° and γ = 90.00°. The asymmetric unit holds Mg at (0.000, 0.000, 0.000), Pd at (0.250, 0.250, 0.500), Pt at (0.000, 0.500, 0.000), O at (0.000, 0.146, 0.500) and O at (0.213, 0.375, 0.000).

The raw total energy comes out at -5.665 eV/atom.